Entry 1:
DFT (PBE) results for an optimized crystal structure of CoAs2Br.

Cell: 6.0018 6.0018 6.9088 Å, 64.26 64.26 90.00°
Sites, in units of the cell vectors:
As  0.8750  0.7565  0.7500
Co  0.5000  0.5000  0.0000
As  0.3750  0.4935  0.7500
As  0.2435  0.6250  0.2500
Br  0.0000  0.0000  0.0000
Co  0.2500  0.7500  0.5000
Br  0.7500  0.2500  0.5000
As  0.5065  0.1250  0.2500

Calculated values
Magnetic moment in μB per cell: 0.000
Crystal system: tetragonal
Space group: I-42d (122)
D(E_F) in states/eV per cell: 0.3
Raw formation energy in meV/atom: 95
Relative energy among the computed polymorphs in meV/atom: 220



Entry 2:
DFT (PBE) results for an optimized crystal structure of PmPaHg.

Cell: 3.2850 5.3399 5.3399 Å, 120.00 90.00 90.00°
Last column: magnetic moment on the atom in μB.
Sites, in units of the cell vectors:
Pa  0.2704  0.6667  0.3333  1.13
Pm  0.6976  0.3333  0.6667  0.14
Hg  0.0321  0.0000  0.0000  0.00

Calculated values
Magnetic moment in μB per cell: 1.592
Crystal system: trigonal
Energy of formation from the pure elements in meV per atom: 205
Space group: P3m1 (156)
D(E_F) in states/eV per cell: 5.7
Relative energy among the computed polymorphs in meV/atom: 0